# MnHS2, optimized geometry, DFT PBE-GGA
# VASP energy ... -80.24 eV for the cell shown
# M_tot ... 3.364 μB per formula unit
data_MnHS2
_chemical_formula_sum 'Mn4 H4 S8'
_cell_length_a 3.383
_cell_length_b 15.562
_cell_length_c 4.733
_cell_angle_alpha 90.00
_cell_angle_beta 90.00
_cell_angle_gamma 90.00
_space_group_name_H-M_alt 'C m c m'
_space_group_IT_number 63
_space_group_name_Hall '-C 2c 2'
loop_
_atom_site_label
_atom_site_fract_x
_atom_site_fract_y
_atom_site_fract_z
Mn1 0.000 0.094 0.250
H1 0.000 0.437 0.250
S1 0.000 0.063 0.750
S2 0.000 0.229 0.250

# MnHS2, optimized geometry, DFT PBE-GGA
# VASP energy ... -44.24 eV for the cell shown
# M_tot ... 3.393 μB per formula unit
data_MnHS2
_chemical_formula_sum 'Mn2 H2 S4'
_cell_length_a 5.945
_cell_length_b 3.442
_cell_length_c 6.302
_cell_angle_alpha 90.00
_cell_angle_beta 101.30
_cell_angle_gamma 90.00
_space_group_name_H-M_alt 'P 1 m 1'
_space_group_IT_number 6
loop_
_space_group_symop_operation_xyz
'x,y,z'
'x,-y,z'
loop_
_atom_site_label
_atom_site_fract_x
_atom_site_fract_y
_atom_site_fract_z
Mn1 0.000 0.000 0.000
Mn2 0.458 0.500 0.540
H1 0.059 0.000 0.538
H2 0.564 0.000 0.193
S1 0.189 0.500 0.214
S2 0.257 0.000 0.691
S3 0.662 0.000 0.407
S4 0.744 0.500 0.861

# MnHS2, optimized geometry, DFT PBE-GGA
# VASP energy ... -76.39 eV for the cell shown
# M_tot ... 2.000 μB per formula unit
data_MnHS2
_chemical_formula_sum 'Mn4 H4 S8'
_cell_length_a 5.709
_cell_length_b 5.709
_cell_length_c 5.709
_cell_angle_alpha 90.00
_cell_angle_beta 90.00
_cell_angle_gamma 90.00
_space_group_name_H-M_alt 'F m -3 m'
_space_group_IT_number 225
_space_group_name_Hall '-F 4 2 3'
loop_
_atom_site_label
_atom_site_fract_x
_atom_site_fract_y
_atom_site_fract_z
Mn1 0.000 0.000 0.000
H1 0.000 0.000 0.500
S1 0.250 0.250 0.250

# MnHS2, optimized geometry, DFT PBE-GGA
# VASP energy ... -85.46 eV for the cell shown
# M_tot ... 0.000 μB per formula unit
data_MnHS2
_chemical_formula_sum 'Mn4 H4 S8'
_cell_length_a 6.218
_cell_length_b 6.209
_cell_length_c 6.439
_cell_angle_alpha 90.00
_cell_angle_beta 115.68
_cell_angle_gamma 90.00
_space_group_name_H-M_alt 'C 1 c 1'
_space_group_IT_number 9
loop_
_space_group_symop_operation_xyz
'x,y,z'
'x,-y,z+1/2'
'x+1/2,y+1/2,z'
'x+1/2,-y+1/2,z+1/2'
loop_
_atom_site_label
_atom_site_fract_x
_atom_site_fract_y
_atom_site_fract_z
Mn1 0.000 0.135 0.000
H1 0.375 0.067 0.872
S1 0.232 0.087 0.396
S2 0.306 0.387 0.114

# MnH2S, optimized geometry, DFT PBE-GGA
# VASP energy ... -54.21 eV for the cell shown
# M_tot ... 3.750 μB per formula unit
data_MnH2S
_chemical_formula_sum 'Mn3 H6 S3'
_cell_length_a 3.9540
_cell_length_b 3.9540
_cell_length_c 8.6868
_cell_angle_alpha 90.00
_cell_angle_beta 90.00
_cell_angle_gamma 120.00
_space_group_name_H-M_alt 'R -3 m'
_space_group_IT_number 166
_space_group_name_Hall '-R 3 2"'
loop_
_atom_site_label
_atom_site_fract_x
_atom_site_fract_y
_atom_site_fract_z
Mn1 0.0000 0.0000 0.0000
H1 0.0000 0.0000 0.1922
S1 0.0000 0.0000 0.5000

# MnHS2, optimized geometry, DFT PBE-GGA
# VASP energy ... -44.48 eV for the cell shown
# M_tot ... 3.972 μB per formula unit
data_MnHS2
_chemical_formula_sum 'Mn2 H2 S4'
_cell_length_a 3.552
_cell_length_b 5.454
_cell_length_c 6.232
_cell_angle_alpha 90.00
_cell_angle_beta 90.00
_cell_angle_gamma 90.00
_space_group_name_H-M_alt 'P m n 21'
_space_group_IT_number 31
loop_
_space_group_symop_operation_xyz
'x,y,z'
'-x+1/2,-y,z+1/2'
'-x,y,z'
'x+1/2,-y,z+1/2'
loop_
_atom_site_label
_atom_site_fract_x
_atom_site_fract_y
_atom_site_fract_z
Mn1 0.000 0.229 0.000
H1 0.000 0.319 0.477
S1 0.000 0.520 0.338
S2 0.000 0.987 0.663